(1)
This record from Alexandria describes a relaxed structure of VPtI2. The functional is GGA-PBE.

Structure (extended XYZ):
```
16
Lattice="5.9820 0.0000 0.0000 0.0000 5.9820 0.0000 0.0000 0.0000 13.4086" Properties=species:S:1:pos:R:3 pbc="T T T"
V 0.0000 0.0000 0.0000
V 0.0000 2.9910 3.3522
V 2.9910 0.0000 10.0565
V 2.9910 2.9910 6.7043
Pt 0.0000 0.0000 6.7043
Pt 0.0000 2.9910 10.0565
Pt 2.9910 0.0000 3.3522
Pt 2.9910 2.9910 0.0000
I 1.4785 1.4955 8.3804
I 1.4955 4.4695 11.7326
I 1.4955 4.5034 5.0282
I 1.5124 1.4955 1.6761
I 4.4695 4.4865 1.6761
I 4.4865 1.4785 5.0282
I 4.4865 1.5124 11.7326
I 4.5034 4.4865 8.3804
```

Calculated values
Magnetic moment: 12.00 μB/cell
Formation energy from raw total energies: 365 meV/atom
Symmetry: No. 122
Crystal system: tetragonal
Uncorrected energy: -16.80 eV/f.u.

***

(2)
This record from Alexandria describes a relaxed structure of Nd3Ge5Pt6. The functional is GGA-PBE.

Structure (extended XYZ):
```
28
Lattice="4.2117 0.0000 0.0000 0.0000 13.0119 0.0000 0.0000 0.0000 9.8944" Properties=species:S:1:pos:R:3 pbc="T T T"
Nd 1.0529 1.0707 2.4392
Nd 1.0529 5.4352 2.4392
Nd 1.0529 9.7589 2.5470
Nd 3.1588 3.2530 7.3474
Nd 3.1588 7.5766 7.4552
Nd 3.1588 11.9412 7.4552
Ge 1.0529 1.0660 8.4355
Ge 1.0529 5.4400 8.4355
Ge 1.0529 8.2334 5.2952
Ge 1.0529 9.7589 8.4051
Ge 1.0529 11.2844 5.2952
Ge 3.1588 1.7275 4.5992
Ge 3.1588 3.2530 1.4893
Ge 3.1588 4.7784 4.5992
Ge 3.1588 7.5719 1.4589
Ge 3.1588 11.9459 1.4589
Pt 1.0529 0.7345 5.9411
Pt 1.0529 3.2530 4.8326
Pt 1.0529 3.2530 9.8517
Pt 1.0529 5.7715 5.9411
Pt 1.0529 7.5936 0.0713
Pt 1.0529 11.9242 0.0713
Pt 3.1588 1.0876 9.8231
Pt 3.1588 5.4183 9.8231
Pt 3.1588 7.2404 3.9533
Pt 3.1588 9.7589 0.0426
Pt 3.1588 9.7589 5.0618
Pt 3.1588 12.2774 3.9533
```

Calculated values
Calculated formation energy: -902 meV/atom
Magnetic moment: 0.00 μB/cell
Symmetry: No. 59
Crystal system: orthorhombic
Uncorrected energy: -86.26 eV/f.u.

***

(3)
This record from Alexandria describes a relaxed structure of BeAgCl2. The functional is GGA-PBE.

Structure (extended XYZ):
```
16
Lattice="6.7140 0.0000 0.0000 0.0000 6.7140 0.0000 0.0000 0.0000 6.7140" Properties=species:S:1:pos:R:3 pbc="T T T"
Be 0.0000 0.0000 0.0000
Be 0.0000 3.3570 3.3570
Be 3.3570 0.0000 3.3570
Be 3.3570 3.3570 0.0000
Ag 1.6785 1.6785 1.6785
Ag 1.6785 5.0355 5.0355
Ag 5.0355 1.6785 5.0355
Ag 5.0355 5.0355 1.6785
Cl 0.0000 0.0000 3.3570
Cl 0.0000 3.3570 0.0000
Cl 1.6785 1.6785 5.0355
Cl 1.6785 5.0355 1.6785
Cl 3.3570 0.0000 0.0000
Cl 3.3570 3.3570 3.3570
Cl 5.0355 1.6785 1.6785
Cl 5.0355 5.0355 5.0355
```

Calculated values
Magnetic moment: 1.84 μB/cell
Formation energy from raw total energies: 501 meV/atom
Symmetry: No. 216
Crystal system: cubic
Uncorrected energy: -8.27 eV/f.u.